No. 1
Density functional theory data (GGA-PBE) for a relaxed InCoRh2 crystal.

The structure belongs to space group P4/mmm (No. 123); the cell edges are 2.931, 2.931 and 6.972 Å and the angles 90.00°, 90.00° and 90.00°. The inequivalent atoms are In at (0.000, 0.000, 0.000), Co at (0.000, 0.000, 0.500) and Rh at (0.500, 0.500, 0.276).


No. 2
Density functional theory data (GGA-PBE) for a relaxed InCoRh crystal.

The structure belongs to space group P-6m2 (No. 187); the cell edges are 4.2987, 4.2987 and 2.9139 Å and the angles 90.00°, 90.00° and 120.00°. The inequivalent atoms are In at (0.0000, 0.0000, 0.0000), Co at (0.6667, 0.3333, 0.5000) and Rh at (0.3333, 0.6667, 0.5000).


No. 3
Density functional theory data (GGA-PBE) for a relaxed InCoRh2 crystal.

The structure belongs to space group P4mm (No. 99); the cell edges are 2.876, 2.876 and 7.202 Å and the angles 90.00°, 90.00° and 90.00°. The inequivalent atoms are In at (0.000, 0.000, 0.000), Co at (0.500, 0.500, 0.740), Rh at (0.000, 0.000, 0.526) and Rh at (0.500, 0.500, 0.269).


No. 4
Density functional theory data (GGA-PBE) for a relaxed In2Co2Rh crystal.

The structure belongs to space group P4/mbm (No. 127); the cell edges are 6.406, 6.406 and 3.868 Å and the angles 90.00°, 90.00° and 90.00°. The inequivalent atoms are In at (0.180, 0.320, 0.000), Co at (0.121, 0.621, 0.500) and Rh at (0.000, 0.000, 0.500).


No. 5
Density functional theory data (GGA-PBE) for a relaxed InCoRh2 crystal.

The structure belongs to space group F-43m (No. 216); the cell edges are 6.234, 6.234 and 6.234 Å and the angles 90.00°, 90.00° and 90.00°. The inequivalent atoms are In at (0.000, 0.000, 0.000), Co at (0.250, 0.250, 0.250), Rh at (0.000, 0.000, 0.500) and Rh at (0.250, 0.250, 0.750).


No. 6
Density functional theory data (GGA-PBE) for a relaxed InCo3Rh crystal.

The structure belongs to space group Pm-3m (No. 221); the cell edges are 4.557, 4.557 and 4.557 Å and the angles 90.00°, 90.00° and 90.00°. The inequivalent atoms are In at (0.000, 0.000, 0.000), Co at (0.000, 0.500, 0.500) and Rh at (0.500, 0.500, 0.500).


Number 1: magnetic moment 3.10 μB/cell, energy relative to the elements -80.9 meV/atom. Number 2: magnetic moment 1.85 μB/cell, energy relative to the elements 69.2 meV/atom. Number 3: magnetic moment 1.99 μB/cell, energy relative to the elements 58.2 meV/atom. Number 4: magnetic moment 3.26 μB/cell, energy relative to the elements 145.1 meV/atom. Number 5: magnetic moment 11.77 μB/cell, energy relative to the elements 69.5 meV/atom. Number 6: magnetic moment 6.64 μB/cell, energy relative to the elements 1098.5 meV/atom.